# PrHo8Er6

A relaxed PrHo8Er6 crystal (GGA-PBE, Alexandria).

## Properties
- Formation enthalpy at 0 K: 138.3 meV per atom

Cell: 8.9674 8.9674 8.5634 Å, 58.43 58.43 60.00°
Element x y z (fractional)
1 Er 0.4627 0.8921 0.8784
2 Ho 0.4235 0.4235 0.7294
3 Er 0.7668 0.4627 0.8784
4 Ho 0.7202 0.1105 0.4259
5 Ho 0.1105 0.7435 0.4259
6 Er 0.8921 0.7668 0.8784
7 Ho 0.8895 0.2565 0.5741
8 Ho 0.5765 0.5765 0.2706
9 Er 0.2332 0.5373 0.1216
10 Pr 0.0000 0.0000 0.0000
11 Ho 0.7435 0.7202 0.4259
12 Er 0.5373 0.1079 0.1216
13 Er 0.1079 0.2332 0.1216
14 Ho 0.2565 0.2798 0.5741
15 Ho 0.2798 0.8895 0.5741